CeSnP2Rh5: optimized geometry, GGA-PBE.

The calculation puts the calculated formation energy at -725 meV per atom.

The space group is P4/mmm (No. 123) and the conventional cell measures 4.068, 4.068 and 10.116 Å, with angles of 90.00, 90.00 and 90.00 degrees. The distinct sites, in fractional coordinates, are Ce at (0.000, 0.000, 0.000), Sn at (0.000, 0.000, 0.500), P at (0.500, 0.500, 0.225), Rh at (0.000, 0.500, 0.324) and Rh at (0.500, 0.500, 0.000).

GeTe2C: optimized geometry, GGA-PBE.

The formation energy (no corrections) comes out at 35.494 kcal/mol of atoms. For the energy relative to the lowest polymorph listed for this composition, the calculation gives 1.952 eV/f.u.

The space group is Fm-3m (No. 225) and the conventional cell measures 6.903, 6.903 and 6.903 Å, with angles of 90.00, 90.00 and 90.00 degrees. The distinct sites, in fractional coordinates, are Ge at (0.000, 0.000, 0.000), Te at (0.250, 0.250, 0.250) and C at (0.000, 0.000, 0.500).

| no. | spin magnetization (μB per atom) | calculated total energy (eV/atom) |
| --- | --- | --- |
| 1 | 0.078 | -7.116 |
| 2 | 0.000 | -3.492 |